No. 1
# PBE-GGA ScGeO, optimized geometry
data_ScGeO
_symmetry_space_group_name_H-M 'I 4/m m m'
_symmetry_Int_Tables_number 139
_symmetry_space_group_name_Hall '-I 4 2'
_cell_length_a 3.762
_cell_length_b 3.762
_cell_length_c 13.680
_cell_angle_alpha 90.00
_cell_angle_beta 90.00
_cell_angle_gamma 90.00
loop_
_atom_site_label
_atom_site_fract_x
_atom_site_fract_y
_atom_site_fract_z
Sc1 0.000 0.000 0.181
Ge1 0.000 0.500 0.000
O1 0.000 0.500 0.250
# formation energy from raw total energies = -2.067 eV per atom
# electronic total energy = -7.3690 eV per atom

No. 2
# PBE-GGA Sc4Ge2O, optimized geometry
data_Sc4Ge2O
_symmetry_space_group_name_H-M 'I 4/m m m'
_symmetry_Int_Tables_number 139
_symmetry_space_group_name_Hall '-I 4 2'
_cell_length_a 4.178
_cell_length_b 4.178
_cell_length_c 14.755
_cell_angle_alpha 90.00
_cell_angle_beta 90.00
_cell_angle_gamma 90.00
loop_
_atom_site_label
_atom_site_fract_x
_atom_site_fract_y
_atom_site_fract_z
Sc1 0.000 0.000 0.172
Sc2 0.000 0.500 0.000
Ge1 0.000 0.000 0.361
O1 0.000 0.000 0.000
# formation energy from raw total energies = -1.382 eV per atom
# electronic total energy = -7.0271 eV per atom

No. 3
# PBE-GGA ScGeO, optimized geometry
data_ScGeO
_symmetry_space_group_name_H-M 'F d d d'
_symmetry_Int_Tables_number 70
_cell_length_a 8.721
_cell_length_b 9.488
_cell_length_c 11.625
_cell_angle_alpha 90.00
_cell_angle_beta 90.00
_cell_angle_gamma 90.00
loop_
_symmetry_equiv_pos_as_xyz
'x,y,z'
'-x,-y,-z'
'-x+1/4,-y+1/4,z'
'x+1/4,y+1/4,-z'
'x,-y+1/4,-z+1/4'
'-x,y+1/4,z+1/4'
'-x+1/4,y,-z+1/4'
'x+1/4,-y,z+1/4'
'x,y+1/2,z+1/2'
'-x,-y+1/2,-z+1/2'
'-x+1/4,-y+3/4,z+1/2'
'x+1/4,y+3/4,-z+1/2'
'x,-y+3/4,-z+3/4'
'-x,y+3/4,z+3/4'
'-x+1/4,y+1/2,-z+3/4'
'x+1/4,-y+1/2,z+3/4'
'x+1/2,y,z+1/2'
'-x+1/2,-y,-z+1/2'
'-x+3/4,-y+1/4,z+1/2'
'x+3/4,y+1/4,-z+1/2'
'x+1/2,-y+1/4,-z+3/4'
'-x+1/2,y+1/4,z+3/4'
'-x+3/4,y,-z+3/4'
'x+3/4,-y,z+3/4'
'x+1/2,y+1/2,z'
'-x+1/2,-y+1/2,-z'
'-x+3/4,-y+3/4,z'
'x+3/4,y+3/4,-z'
'x+1/2,-y+3/4,-z+1/4'
'-x+1/2,y+3/4,z+1/4'
'-x+3/4,y+1/2,-z+1/4'
'x+3/4,-y+1/2,z+1/4'
loop_
_atom_site_label
_atom_site_fract_x
_atom_site_fract_y
_atom_site_fract_z
Sc1 0.125 0.322 0.125
Ge1 0.125 0.125 0.526
O1 0.000 0.000 0.000
# formation energy from raw total energies = -1.445 eV per atom
# electronic total energy = -6.7476 eV per atom

No. 4
# PBE-GGA Sc2GeO, optimized geometry
data_Sc2GeO
_symmetry_space_group_name_H-M 'P n m a'
_symmetry_Int_Tables_number 62
_symmetry_space_group_name_Hall '-P 2ac 2n'
_cell_length_a 8.119
_cell_length_b 3.725
_cell_length_c 10.291
_cell_angle_alpha 90.00
_cell_angle_beta 90.00
_cell_angle_gamma 90.00
loop_
_atom_site_label
_atom_site_fract_x
_atom_site_fract_y
_atom_site_fract_z
Sc1 0.020 0.250 0.234
Sc2 0.158 0.750 0.483
Ge1 0.234 0.250 0.706
O1 0.070 0.250 0.425
# formation energy from raw total energies = -1.780 eV per atom
# electronic total energy = -7.3395 eV per atom

No. 5
# PBE-GGA SmScGeO5, optimized geometry
data_SmScGeO5
_symmetry_space_group_name_H-M 'C 1 2/c 1'
_symmetry_Int_Tables_number 15
_symmetry_space_group_name_Hall '-C 2yc'
_cell_length_a 6.861
_cell_length_b 9.249
_cell_length_c 7.264
_cell_angle_alpha 90.00
_cell_angle_beta 112.38
_cell_angle_gamma 90.00
loop_
_atom_site_label
_atom_site_fract_x
_atom_site_fract_y
_atom_site_fract_z
Sm1 0.000 0.173 0.250
Sc1 0.000 0.500 0.000
Ge1 0.000 0.174 0.750
O1 0.000 0.410 0.250
O2 0.116 0.284 0.618
O3 0.173 0.054 0.928
# formation energy from raw total energies = -2.835 eV per atom
# electronic total energy = -7.8922 eV per atom

No. 6
# PBE-GGA Sr2Sc2Ge2O, optimized geometry
data_Sr2Sc2Ge2O
_symmetry_space_group_name_H-M 'I 4/m m m'
_symmetry_Int_Tables_number 139
_symmetry_space_group_name_Hall '-I 4 2'
_cell_length_a 4.415
_cell_length_b 4.415
_cell_length_c 16.478
_cell_angle_alpha 90.00
_cell_angle_beta 90.00
_cell_angle_gamma 90.00
loop_
_atom_site_label
_atom_site_fract_x
_atom_site_fract_y
_atom_site_fract_z
Sr1 0.000 0.000 0.170
Sc1 0.000 0.500 0.000
Ge1 0.000 0.000 0.383
O1 0.000 0.000 0.000
# formation energy from raw total energies = -1.434 eV per atom
# electronic total energy = -5.7507 eV per atom

No. 7
# PBE-GGA Sr3ScGe2O9, optimized geometry
data_Sr3ScGe2O9
_symmetry_space_group_name_H-M 'P -3 m 1'
_symmetry_Int_Tables_number 164
_symmetry_space_group_name_Hall '-P 3 2"'
_cell_length_a 5.5788
_cell_length_b 5.5788
_cell_length_c 6.8489
_cell_angle_alpha 90.00
_cell_angle_beta 90.00
_cell_angle_gamma 120.00
loop_
_atom_site_label
_atom_site_fract_x
_atom_site_fract_y
_atom_site_fract_z
Sr1 0.0000 0.0000 0.0000
Sr2 0.3333 0.6667 0.6723
Sc1 0.0000 0.0000 0.5000
Ge1 0.3333 0.6667 0.1683
O1 0.0000 0.5000 0.0000
O2 0.1733 0.3465 0.3215
# formation energy from raw total energies = -2.450 eV per atom
# electronic total energy = -6.7989 eV per atom

No. 8
# PBE-GGA Sr3ScGe2O8, optimized geometry
data_Sr3ScGe2O8
_symmetry_space_group_name_H-M 'P -3 m 1'
_symmetry_Int_Tables_number 164
_symmetry_space_group_name_Hall '-P 3 2"'
_cell_length_a 5.7409
_cell_length_b 5.7409
_cell_length_c 7.2716
_cell_angle_alpha 90.00
_cell_angle_beta 90.00
_cell_angle_gamma 120.00
loop_
_atom_site_label
_atom_site_fract_x
_atom_site_fract_y
_atom_site_fract_z
Sr1 0.0000 0.0000 0.0000
Sr2 0.3333 0.6667 0.6471
Sc1 0.0000 0.0000 0.5000
Ge1 0.3333 0.6667 0.2069
O1 0.1695 0.3390 0.3248
O2 0.3333 0.6667 0.9663
# formation energy from raw total energies = -2.425 eV per atom
# electronic total energy = -6.7304 eV per atom

Question: Which value of electronic total energy does entry 8 give?
Answer: -6.7304 eV per atom

Question: Which formula does entry 4 have?
Answer: Sc2GeO